Entry 1:
# YTlCrGa2 (PBE, relaxed)
# DFT total energy ... -24.06 eV per cell
data_YTlCrGa2
_symmetry_space_group_name_H-M 'P 4/m m m'
_symmetry_Int_Tables_number 123
_symmetry_space_group_name_Hall '-P 4 2'
_cell_length_a 4.712
_cell_length_b 4.712
_cell_length_c 5.059
_cell_angle_alpha 90.00
_cell_angle_beta 90.00
_cell_angle_gamma 90.00
loop_
_atom_site_label
_atom_site_type_symbol
_atom_site_fract_x
_atom_site_fract_y
_atom_site_fract_z
Y1 Y 0.000 0.000 0.000
Tl1 Tl 0.500 0.500 0.000
Cr1 Cr 0.500 0.500 0.500
Ga1 Ga 0.000 0.500 0.500

Entry 2:
# KFePt2 (PBE, relaxed)
# Offset from the most stable computed form ... 0 meV/atom
# DFT total energy ... -21.63 eV per cell
data_KFePt2
_symmetry_space_group_name_H-M 'P 4/m m m'
_symmetry_Int_Tables_number 123
_symmetry_space_group_name_Hall '-P 4 2'
_cell_length_a 2.989
_cell_length_b 2.989
_cell_length_c 8.361
_cell_angle_alpha 90.00
_cell_angle_beta 90.00
_cell_angle_gamma 90.00
loop_
_atom_site_label
_atom_site_type_symbol
_atom_site_fract_x
_atom_site_fract_y
_atom_site_fract_z
K1 K 0.000 0.000 0.000
Fe1 Fe 0.000 0.000 0.500
Pt1 Pt 0.500 0.500 0.315

Entry 3:
# YTePt2 (PBE, relaxed)
# Raw formation energy ... -717 meV/atom
# Offset from the most stable computed form ... 60 meV/atom
# DFT total energy ... -24.56 eV per cell
data_YTePt2
_symmetry_space_group_name_H-M 'P 4/m m m'
_symmetry_Int_Tables_number 123
_symmetry_space_group_name_Hall '-P 4 2'
_cell_length_a 4.328
_cell_length_b 4.328
_cell_length_c 4.321
_cell_angle_alpha 90.00
_cell_angle_beta 90.00
_cell_angle_gamma 90.00
loop_
_atom_site_label
_atom_site_type_symbol
_atom_site_fract_x
_atom_site_fract_y
_atom_site_fract_z
Y1 Y 0.000 0.000 0.000
Te1 Te 0.500 0.500 0.000
Pt1 Pt 0.000 0.500 0.500

Entry 4:
# BaP2Pb (PBE, relaxed)
# DFT total energy ... -33.78 eV per cell
data_BaP2Pb
_symmetry_space_group_name_H-M 'C m m m'
_symmetry_Int_Tables_number 65
_symmetry_space_group_name_Hall '-C 2 2'
_cell_length_a 7.964
_cell_length_b 8.007
_cell_length_c 3.355
_cell_angle_alpha 90.00
_cell_angle_beta 90.00
_cell_angle_gamma 90.00
loop_
_atom_site_label
_atom_site_type_symbol
_atom_site_fract_x
_atom_site_fract_y
_atom_site_fract_z
Ba1 Ba 0.000 0.000 0.000
P1 P 0.250 0.250 0.500
Pb1 Pb 0.000 0.500 0.000

Entry 5:
# K2HfH (PBE, relaxed)
# Offset from the most stable computed form ... 688 meV/atom
# DFT total energy ... -38.92 eV per cell
data_K2HfH
_symmetry_space_group_name_H-M 'F m -3 m'
_symmetry_Int_Tables_number 225
_symmetry_space_group_name_Hall '-F 4 2 3'
_cell_length_a 8.570
_cell_length_b 8.570
_cell_length_c 8.570
_cell_angle_alpha 90.00
_cell_angle_beta 90.00
_cell_angle_gamma 90.00
loop_
_atom_site_label
_atom_site_type_symbol
_atom_site_fract_x
_atom_site_fract_y
_atom_site_fract_z
K1 K 0.250 0.250 0.250
Hf1 Hf 0.000 0.000 0.000
H1 H 0.000 0.000 0.500

Entry 6:
# CuSbSeN2 (PBE, relaxed)
# Raw formation energy ... 1403 meV/atom
# Offset from the most stable computed form ... 75 meV/atom
# DFT total energy ... -21.34 eV per cell
data_CuSbSeN2
_symmetry_space_group_name_H-M 'P 4/m m m'
_symmetry_Int_Tables_number 123
_symmetry_space_group_name_Hall '-P 4 2'
_cell_length_a 3.996
_cell_length_b 3.996
_cell_length_c 4.991
_cell_angle_alpha 90.00
_cell_angle_beta 90.00
_cell_angle_gamma 90.00
loop_
_atom_site_label
_atom_site_type_symbol
_atom_site_fract_x
_atom_site_fract_y
_atom_site_fract_z
Cu1 Cu 0.000 0.000 0.000
Sb1 Sb 0.500 0.500 0.500
Se1 Se 0.000 0.000 0.500
N1 N 0.000 0.500 0.000

Entry 7:
# Tb3Ga2Cu3 (PBE, relaxed)
# DFT total energy ... -141.53 eV per cell
data_Tb3Ga2Cu3
_symmetry_space_group_name_H-M 'P n m a'
_symmetry_Int_Tables_number 62
_cell_length_a 7.341
_cell_length_b 14.939
_cell_length_c 5.903
_cell_angle_alpha 90.00
_cell_angle_beta 90.00
_cell_angle_gamma 90.00
loop_
_symmetry_equiv_pos_as_xyz
'x,y,z'
'-x,-y,-z'
'-x+1/2,-y,z+1/2'
'x+1/2,y,-z+1/2'
'x+1/2,-y+1/2,-z+1/2'
'-x+1/2,y+1/2,z+1/2'
'-x,y+1/2,-z'
'x,-y+1/2,z'
loop_
_atom_site_label
_atom_site_type_symbol
_atom_site_fract_x
_atom_site_fract_y
_atom_site_fract_z
Tb1 Tb 0.012 0.107 0.146
Tb2 Tb 0.155 0.250 0.616
Ga1 Ga 0.136 0.604 0.353
Cu1 Cu 0.168 0.034 0.577
Cu2 Cu 0.210 0.750 0.616

Entry 8:
# Tb5DyTm3 (PBE, relaxed)
# Offset from the most stable computed form ... 0 meV/atom
# DFT total energy ... -153.36 eV per cell
data_Tb5DyTm3
_symmetry_space_group_name_H-M 'C 1 2/c 1'
_symmetry_Int_Tables_number 15
_cell_length_a 16.973
_cell_length_b 6.157
_cell_length_c 11.266
_cell_angle_alpha 90.00
_cell_angle_beta 92.36
_cell_angle_gamma 90.00
loop_
_symmetry_equiv_pos_as_xyz
'x,y,z'
'-x,-y,-z'
'-x,y,-z+1/2'
'x,-y,z+1/2'
'x+1/2,y+1/2,z'
'-x+1/2,-y+1/2,-z'
'-x+1/2,y+1/2,-z+1/2'
'x+1/2,-y+1/2,z+1/2'
loop_
_atom_site_label
_atom_site_type_symbol
_atom_site_fract_x
_atom_site_fract_y
_atom_site_fract_z
Tb1 Tb 0.000 0.089 0.250
Tb2 Tb 0.161 0.224 0.573
Tb3 Tb 0.178 0.294 0.244
Dy1 Dy 0.000 0.395 0.750
Tm1 Tm 0.000 0.500 0.000
Tm2 Tm 0.163 0.240 0.918

Entry 9:
# MgZn2W (PBE, relaxed)
# DFT total energy ... -31.79 eV per cell
data_MgZn2W
_symmetry_space_group_name_H-M 'C 1 2/m 1'
_symmetry_Int_Tables_number 12
_cell_length_a 9.289
_cell_length_b 2.769
_cell_length_c 5.208
_cell_angle_alpha 90.00
_cell_angle_beta 99.50
_cell_angle_gamma 90.00
loop_
_symmetry_equiv_pos_as_xyz
'x,y,z'
'-x,-y,-z'
'-x,y,-z'
'x,-y,z'
'x+1/2,y+1/2,z'
'-x+1/2,-y+1/2,-z'
'-x+1/2,y+1/2,-z'
'x+1/2,-y+1/2,z'
loop_
_atom_site_label
_atom_site_type_symbol
_atom_site_fract_x
_atom_site_fract_y
_atom_site_fract_z
Mg1 Mg 0.000 0.000 0.000
Zn1 Zn 0.248 0.000 0.719
W1 W 0.000 0.500 0.500

Entry 10:
# La2Y6Er (PBE, relaxed)
# Offset from the most stable computed form ... 0 meV/atom
# DFT total energy ... -210.32 eV per cell
data_La2Y6Er
_symmetry_space_group_name_H-M 'I b a m'
_symmetry_Int_Tables_number 72
_symmetry_space_group_name_Hall '-I 2 2c'
_cell_length_a 9.907
_cell_length_b 17.170
_cell_length_c 6.999
_cell_angle_alpha 90.00
_cell_angle_beta 90.00
_cell_angle_gamma 90.00
loop_
_atom_site_label
_atom_site_type_symbol
_atom_site_fract_x
_atom_site_fract_y
_atom_site_fract_z
La1 La 0.000 0.167 0.250
Y1 Y 0.165 0.334 0.000
Y2 Y 0.165 0.336 0.500
Y3 Y 0.170 0.001 0.500
Er1 Er 0.000 0.500 0.250

Entry 11:
# Pu6TcRu5 (PBE, relaxed)
# DFT total energy ... -288.10 eV per cell
data_Pu6TcRu5
_symmetry_space_group_name_H-M 'C 1 2/m 1'
_symmetry_Int_Tables_number 12
_cell_length_a 15.172
_cell_length_b 6.707
_cell_length_c 4.788
_cell_angle_alpha 90.00
_cell_angle_beta 108.27
_cell_angle_gamma 90.00
loop_
_symmetry_equiv_pos_as_xyz
'x,y,z'
'-x,-y,-z'
'-x,y,-z'
'x,-y,z'
'x+1/2,y+1/2,z'
'-x+1/2,-y+1/2,-z'
'-x+1/2,y+1/2,-z'
'x+1/2,-y+1/2,z'
loop_
_atom_site_label
_atom_site_type_symbol
_atom_site_fract_x
_atom_site_fract_y
_atom_site_fract_z
Pu1 Pu 0.000 0.248 0.000
Pu2 Pu 0.167 0.249 0.667
Tc1 Tc 0.000 0.500 0.500
Ru1 Ru 0.000 0.000 0.500
Ru2 Ru 0.164 0.500 0.164
Ru3 Ru 0.168 0.000 0.169

Entry 12:
# Mg2CoSe (PBE, relaxed)
# Raw formation energy ... -33 meV/atom
# Offset from the most stable computed form ... 264 meV/atom
# DFT total energy ... -27.83 eV per cell
data_Mg2CoSe
_symmetry_space_group_name_H-M 'I -4 m 2'
_symmetry_Int_Tables_number 119
_symmetry_space_group_name_Hall 'I -4 -2'
_cell_length_a 3.830
_cell_length_b 3.830
_cell_length_c 9.380
_cell_angle_alpha 90.00
_cell_angle_beta 90.00
_cell_angle_gamma 90.00
loop_
_atom_site_label
_atom_site_type_symbol
_atom_site_fract_x
_atom_site_fract_y
_atom_site_fract_z
Mg1 Mg 0.000 0.000 0.000
Mg2 Mg 0.000 0.500 0.250
Co1 Co 0.000 0.000 0.500
Se1 Se 0.000 0.500 0.750

Question: Among the records above, which one has the highest DFT total energy?
Answer: CuSbSeN2

Question: Which formula does entry 5 have?
Answer: K2HfH

Repeat the first record exactly.
# YTlCrGa2 (PBE, relaxed)
# DFT total energy ... -24.06 eV per cell
data_YTlCrGa2
_symmetry_space_group_name_H-M 'P 4/m m m'
_symmetry_Int_Tables_number 123
_symmetry_space_group_name_Hall '-P 4 2'
_cell_length_a 4.712
_cell_length_b 4.712
_cell_length_c 5.059
_cell_angle_alpha 90.00
_cell_angle_beta 90.00
_cell_angle_gamma 90.00
loop_
_atom_site_label
_atom_site_type_symbol
_atom_site_fract_x
_atom_site_fract_y
_atom_site_fract_z
Y1 Y 0.000 0.000 0.000
Tl1 Tl 0.500 0.500 0.000
Cr1 Cr 0.500 0.500 0.500
Ga1 Ga 0.000 0.500 0.500